(1)
4
Lattice="-2.0130 2.0698 1.1488 -3.5155 -2.7733 -1.1636 1.2720 -3.2561 3.9177" Properties=species:S:1:pos:R:3 comment="Mo2AsPb, optimized geometry, DFT GGA-PBEsol" vol_a3_per_atom=18.04 spacegroup="Pm, No. 6" e_tot_ev_per_atom=-7.77 pbc="T T T"
Pb -0.2428 -0.7537 2.5300
Mo 0.8989 -2.8536 4.0854
Mo -3.0898 -0.4057 1.1049
As -0.9215 -3.7958 2.6336

***

(2)
4
Lattice="-0.0128 -3.1542 -0.8235 4.2766 0.1228 -0.5370 0.6451 -1.2680 4.8467" Properties=species:S:1:pos:R:3 comment="Mo2AsPb, optimized geometry, DFT GGA-PBEsol" vol_a3_per_atom=17.75 spacegroup="Pmmm, No. 47" e_tot_ev_per_atom=-7.46 pbc="T T T"
Pb 2.1319 -1.5157 -0.6803
Mo 0.0000 0.0000 0.0000
Mo 0.3161 -2.2111 2.0116
As 2.4608 -0.5726 2.1548

***

(3)
4
Lattice="3.0642 -0.0201 0.0000 -1.2825 2.7830 0.0000 0.0000 0.0000 8.3861" Properties=species:S:1:pos:R:3 comment="Mo2AsPb, optimized geometry, DFT GGA-PBEsol" vol_a3_per_atom=17.82 spacegroup="Cmmm, No. 65" e_tot_ev_per_atom=-7.62 pbc="T T T"
Pb 0.8909 1.3814 4.1931
Mo 0.0000 0.0000 1.8338
Mo 0.0000 0.0000 6.5523
As 0.8909 1.3814 0.0000

***

(4)
4
Lattice="2.9106 -0.0024 0.0000 -0.9507 2.7510 0.0000 0.0000 0.0000 9.7035" Properties=species:S:1:pos:R:3 comment="Mo2AsPb, optimized geometry, DFT GGA-PBEsol" vol_a3_per_atom=19.42 spacegroup="Cmm2, No. 35" e_tot_ev_per_atom=-7.81 pbc="T T T"
Pb 0.0000 0.0000 5.1458
Mo 0.0000 0.0000 9.6208
Mo 0.9800 1.3743 7.6208
As 0.9800 1.3743 1.8714

***

(5)
4
Lattice="-2.8822 0.5092 0.8986 0.6222 -2.9971 0.0653 2.9042 0.7961 8.8641" Properties=species:S:1:pos:R:3 comment="MoAs2Pb, optimized geometry, DFT GGA-PBEsol" vol_a3_per_atom=20.57 spacegroup="Cmmm, No. 65" e_tot_ev_per_atom=-6.28 pbc="T T T"
Pb -1.1300 -1.2439 0.4820
Mo 0.3221 -0.8459 4.9140
As 0.8858 0.2428 2.7037
As 2.0184 0.5533 6.1604

***

(6)
3
Lattice="-1.8459 -1.9617 -1.3374 2.3609 0.4641 -1.8042 3.3610 -4.8945 4.8542" Properties=species:S:1:pos:R:3 comment="MoAsPb, optimized geometry, DFT GGA-PBEsol" vol_a3_per_atom=21.35 spacegroup="Fmm2, No. 42" e_tot_ev_per_atom=-6.60 pbc="T T T"
Pb 2.2676 -3.5364 2.0576
Mo 1.3610 -2.4698 -0.5695
As 0.2474 -0.3859 0.2245

***

(7)
5
Lattice="4.9278 0.0000 0.0000 0.0000 4.8957 0.0000 0.0000 0.0000 4.8957" Properties=species:S:1:pos:R:3 comment="Mo2AsPdPb, optimized geometry, DFT GGA-PBEsol" vol_a3_per_atom=23.62 spacegroup="P4/mmm, No. 123" e_tot_ev_per_atom=-6.02 pbc="T T T"
Pb 2.4639 0.0000 0.0000
Mo 0.0000 0.0000 2.4479
Mo 0.0000 2.4479 0.0000
As 2.4639 2.4479 2.4479
Pd 0.0000 0.0000 0.0000

***

(8)
5
Lattice="-0.1794 5.0855 1.1300 -4.3131 -0.7791 2.8217 3.1883 -0.9143 4.6212" Properties=species:S:1:pos:R:3 comment="TeMoAs2Pb, optimized geometry, DFT GGA-PBEsol" vol_a3_per_atom=30.91 spacegroup="P4/mmm, No. 123" formation_energy_uncorrected_ev_per_atom=1.670 pbc="T T T"
Pb 1.5942 -0.4572 2.3106
Mo -0.6521 1.6960 4.2864
Te 0.0000 0.0000 0.0000
As -2.1566 -0.3896 1.4108
As -0.0897 2.5428 0.5650